A plane-wave DFT calculation with PBE with a Hubbard U was carried out for a relaxed structure of VF5.

POSCAR file:
```
VF5
1.0
-3.712 -3.300 -1.520
2.289 -3.992 3.079
-7.537 3.692 10.390
V F
4 20
direct
0.296 0.120 0.594
0.796 0.380 0.406
0.204 0.880 0.094
0.704 0.620 0.906
0.570 0.092 0.669
0.098 0.946 0.670
0.206 0.404 0.643
0.510 0.326 0.500
0.381 0.885 0.511
0.881 0.615 0.489
0.010 0.174 0.500
0.706 0.096 0.357
0.598 0.554 0.330
0.070 0.408 0.331
0.930 0.908 0.169
0.402 0.054 0.170
0.294 0.596 0.143
0.990 0.674 0.000
0.119 0.115 0.011
0.619 0.385 0.989
0.490 0.826 0.000
0.794 0.904 0.857
0.902 0.446 0.830
0.430 0.592 0.831
```

Computed properties:
- volume (Å³/atom) = 16.0
- total energy (eV per atom) = -5.254
- space group = P2_12_12_1 (19)